{"formula": "BaAs3O", "functional": "PBE", "state": "relaxed", "de_polymorph_ev_per_atom": 2.0180, "volume_a3_per_cell": 208.7, "raw_formation_energy_ev_per_atom": 1.79, "lattice": [[-1.989, 0.982, 5.501], [2.020, -5.318, 1.680], [5.211, 2.437, 1.449]], "species": ["As", "As", "As", "O", "Ba"], "fractional_positions": [[0.500, 0.000, 0.000], [0.000, 0.000, 0.500], [0.000, 0.500, 0.000], [0.500, 0.500, 0.500], [0.000, 0.000, 0.000]]}

---

{"formula": "BaAsO2", "functional": "PBE", "state": "relaxed", "volume_a3_per_cell": 73.1, "raw_formation_energy_ev_per_atom": -0.78, "lattice": [[1.994, 0.000, 7.073], [-0.997, 1.727, 7.073], [-0.997, -1.727, 7.073]], "species": ["Ba", "O", "O", "As"], "fractional_positions": [[0.000, 0.000, 0.000], [0.882, 0.882, 0.882], [0.118, 0.118, 0.118], [0.500, 0.500, 0.500]]}

---

{"formula": "Ba8AsO6", "functional": "PBE", "state": "relaxed", "volume_a3_per_cell": 432.2, "raw_formation_energy_ev_per_atom": -2.03, "lattice": [[-1.334, 5.649, -4.855], [1.296, -4.911, -5.609], [-7.330, -1.849, 0.324]], "species": ["O", "O", "O", "O", "O", "O", "Ba", "Ba", "Ba", "Ba", "Ba", "Ba", "Ba", "Ba", "As"], "fractional_positions": [[0.423, 0.826, 0.613], [0.613, 0.423, 0.826], [0.577, 0.174, 0.387], [0.174, 0.387, 0.577], [0.387, 0.577, 0.174], [0.826, 0.613, 0.423], [0.281, 0.617, 0.850], [0.850, 0.281, 0.617], [0.617, 0.850, 0.281], [0.383, 0.150, 0.719], [0.726, 0.726, 0.726], [0.719, 0.383, 0.150], [0.274, 0.274, 0.274], [0.150, 0.719, 0.383], [0.000, 0.000, 0.000]]}

---

{"formula": "Ba2AsO4", "functional": "PBE", "state": "relaxed", "volume_a3_per_cell": 266.3, "raw_formation_energy_ev_per_atom": -2.07, "lattice": [[6.187, 0.000, -0.318], [0.000, 5.921, 0.000], [-2.649, 0.000, 7.404]], "species": ["Ba", "Ba", "Ba", "Ba", "O", "O", "O", "O", "O", "O", "O", "O", "As", "As"], "fractional_positions": [[0.202, 0.250, 0.430], [0.326, 0.250, 0.963], [0.798, 0.750, 0.570], [0.674, 0.750, 0.037], [0.571, 0.479, 0.738], [0.571, 0.021, 0.738], [0.429, 0.521, 0.262], [0.809, 0.250, 0.070], [0.191, 0.750, 0.930], [0.429, 0.979, 0.262], [0.924, 0.250, 0.641], [0.076, 0.750, 0.359], [0.771, 0.250, 0.815], [0.229, 0.750, 0.185]]}

---

{"formula": "Ba6As3O2", "functional": "PBE", "state": "relaxed", "volume_a3_per_cell": 368.5, "raw_formation_energy_ev_per_atom": -1.55, "lattice": [[-4.328, 1.174, 2.762], [2.363, -1.654, 4.406], [5.647, 12.501, -1.484]], "species": ["As", "As", "As", "Ba", "Ba", "Ba", "Ba", "Ba", "Ba", "O", "O"], "fractional_positions": [[0.172, 0.172, 0.343], [0.000, 0.000, 0.000], [0.828, 0.828, 0.657], [0.084, 0.584, 0.167], [0.699, 0.699, 0.399], [0.301, 0.301, 0.601], [0.416, 0.916, 0.833], [0.916, 0.416, 0.833], [0.584, 0.084, 0.167], [0.396, 0.396, 0.792], [0.604, 0.604, 0.208]]}

---

{"formula": "Ba4AsO", "functional": "PBE", "state": "relaxed", "volume_a3_per_cell": 282.5, "raw_formation_energy_ev_per_atom": -1.22, "lattice": [[-2.832, -5.780, -1.774], [4.170, -1.766, -0.901], [2.709, -3.827, 8.207]], "species": ["Ba", "Ba", "Ba", "Ba", "O", "As"], "fractional_positions": [[0.999, 0.437, 0.202], [0.982, 0.735, 0.607], [0.493, 0.103, 0.871], [0.457, 0.862, 0.353], [0.069, 0.864, 0.347], [0.508, 0.483, 0.109]]}

---

{"formula": "Ba2As6O11", "functional": "PBE", "state": "relaxed", "de_polymorph_ev_per_atom": 0.0002, "volume_a3_per_cell": 342.8, "raw_formation_energy_ev_per_atom": -1.66, "lattice": [[-4.600, 2.355, 1.386], [-4.150, -5.913, -0.591], [-0.354, -4.357, 8.339]], "species": ["As", "As", "As", "As", "As", "As", "Ba", "Ba", "O", "O", "O", "O", "O", "O", "O", "O", "O", "O", "O"], "fractional_positions": [[0.733, 0.126, 0.185], [0.254, 0.860, 0.273], [0.797, 0.597, 0.111], [0.252, 0.888, 0.828], [0.232, 0.412, 0.910], [0.723, 0.146, 0.742], [0.750, 0.702, 0.565], [0.221, 0.316, 0.420], [0.734, 0.325, 0.569], [0.353, 0.657, 0.799], [0.275, 0.680, 0.447], [0.968, 0.424, 0.811], [0.877, 0.659, 0.263], [0.112, 0.474, 0.081], [0.989, 0.029, 0.321], [0.468, 0.020, 0.682], [0.489, 0.017, 0.320], [0.983, 0.963, 0.702], [0.664, 0.358, 0.222]]}

---

{"formula": "Ba3AsO6", "functional": "PBE", "state": "relaxed", "volume_a3_per_cell": 414.5, "raw_formation_energy_ev_per_atom": -2.18, "lattice": [[-1.002, 5.479, 1.771], [-7.948, -2.175, 2.230], [4.502, -1.472, 7.102]], "species": ["Ba", "Ba", "Ba", "Ba", "Ba", "Ba", "O", "O", "O", "O", "O", "O", "O", "O", "O", "O", "O", "O", "As", "As"], "fractional_positions": [[0.980, 0.086, 0.306], [0.480, 0.306, 0.086], [0.480, 0.914, 0.694], [0.451, 0.395, 0.605], [0.951, 0.605, 0.395], [0.980, 0.694, 0.914], [0.119, 0.072, 0.928], [0.619, 0.928, 0.072], [0.226, 0.797, 0.203], [0.218, 0.347, 0.332], [0.136, 0.385, 0.880], [0.636, 0.880, 0.385], [0.718, 0.332, 0.347], [0.218, 0.668, 0.653], [0.726, 0.203, 0.797], [0.636, 0.615, 0.120], [0.718, 0.653, 0.668], [0.136, 0.120, 0.615], [0.522, 0.806, 0.194], [0.022, 0.194, 0.806]]}